5
Lattice="3.854 0.000 0.000 0.000 3.854 0.000 0.000 0.000 3.598" Properties=species:S:1:pos:R:3 comment="AlInN2F (PBE, relaxed)" dos_at_fermi_per_ev_cell=1.69 m_tot_mub_per_fu=0.0 pbc="T T T"
In 1.927 1.927 1.799
F 0.000 0.000 1.799
N 0.000 1.927 0.000
N 1.927 0.000 0.000
Al 0.000 0.000 0.000



5
Lattice="-0.834 4.140 0.116 -2.564 -0.423 -3.331 -3.199 -0.716 2.554" Properties=species:S:1:pos:R:3 comment="AlInN2F (PBE, relaxed)" dos_at_fermi_per_ev_cell=1.62 m_tot_mub_per_fu=1.0 pbc="T T T"
In 0.000 0.000 0.000
N -0.417 2.070 0.058
N -1.282 -0.212 -1.666
F -1.600 -0.358 1.277
Al -3.299 1.500 -0.330



Calculated values (eV per atom) of uncorrected formation energy for the records, taken in order: -0.479 0.627.
Calculated values (g/cm3) of ρ for the records, taken in order: 5.87 4.23.